LaTb6Pr2Mg | PBE-GGA | optimized geometry

It has space group C2/c (No. 15), with a = 10.061 Å, b = 19.706 Å, c = 6.740 Å, α = 90.00°, β = 99.65° and γ = 90.00°. The distinct sites, in fractional coordinates, are La at (0.000, 0.008, 0.250), Tb at (0.059, 0.147, 0.529), Tb at (0.114, 0.409, 0.483), Tb at (0.176, 0.259, 0.222), Pr at (0.230, 0.418, 0.000) and Mg at (0.000, 0.292, 0.750).

As for the crystal system: monoclinic. As for the formation energy: 1.0 eV/f.u. Its electronic total energy is -171.3 eV/cell.

---

La2TbPr5Mg | PBE-GGA | optimized geometry

It has space group Cmc2_1 (No. 36), with a = 5.670 Å, b = 20.401 Å, c = 10.928 Å, α = 90.00°, β = 90.00° and γ = 90.00°. The distinct sites, in fractional coordinates, are La at (0.000, 0.116, 0.000), La at (0.000, 0.116, 0.418), Tb at (0.000, 0.200, 0.709), Pr at (0.000, 0.015, 0.709), Pr at (0.000, 0.286, 0.013), Pr at (0.000, 0.287, 0.405), Pr at (0.000, 0.379, 0.709), Pr at (0.000, 0.500, 0.459) and Mg at (0.000, 0.404, 0.209).

As for the crystal system: orthorhombic. As for the formation energy: 0.7 eV/f.u. Its electronic total energy is -157.2 eV/cell.

---

LaTbPrMg | PBE-GGA | optimized geometry

It has space group P4mm (No. 99), with a = 3.764 Å, b = 3.764 Å, c = 9.087 Å, α = 90.00°, β = 90.00° and γ = 90.00°. The distinct sites, in fractional coordinates, are La at (0.000, 0.000, 0.000), Tb at (0.500, 0.500, 0.728), Pr at (0.500, 0.500, 0.284) and Mg at (0.000, 0.000, 0.516).

As for the crystal system: tetragonal. As for the formation energy: -0.1 eV/f.u. Its electronic total energy is -16.1 eV/cell.

---

Among the records above, which one has the lowest electronic total energy?
LaTb6Pr2Mg